First-principles (PBE) data for an optimized crystal structure of Ca2BrF2, as listed in Alexandria.

Lattice parameters (Å, degrees): 4.1520 4.1520 11.7201 90.00 90.00 90.00
Space group I4/mmm (No. 139)
Inequivalent atoms, fractional coordinates:
Ca: 0.0000 0.0000 0.1502 (multiplicity 4)
Br: 0.0000 0.0000 0.5000 (multiplicity 2)
F: 0.0000 0.5000 0.2500 (multiplicity 4)

Summary:
Calculated total energy   -0.172 hartree per atom
M_tot   0.83 μB/f.u.
Energy relative to the elements, uncorrected   -2.795 eV per atom
Offset from the most stable computed form   0 meV/atom